Entry 1:
An optimized crystal structure of Ac8Pt6Au. Source: Alexandria via LeMat-Bulk, functional PBE.

Output
Crystal system = trigonal
Calculated volume = 503.3 Å³ per cell
Total moment = 0.00 μB per cell
Energy of formation = -0.9214 eV per atom

Geometry as POSCAR:
```
Ac8Pt6Au
1.0
11.208 0.000 0.000
-5.604 9.706 0.000
0.000 0.000 4.626
Ac Pt Au
8 6 1
Cartesian
-1.552 3.257 1.111
-2.007 9.422 1.111
0.000 6.471 3.487
2.045 2.972 3.515
3.559 6.734 1.111
5.604 3.235 1.139
7.611 0.284 3.515
7.156 6.449 3.515
-2.086 6.398 1.182
1.107 4.701 1.182
4.624 1.392 3.444
0.980 8.314 1.182
4.497 5.006 3.444
7.690 3.309 3.444
0.000 0.000 0.000
```


Entry 2:
An optimized crystal structure of MnBi2W. Source: Alexandria via LeMat-Bulk, functional PBE.

Output
Crystal system = tetragonal
Calculated volume = 228.3 Å³ per cell
Energy relative to the lowest polymorph listed for this composition = 0.883 eV per atom
Total moment = 0.65 μB per cell
Energy of formation = 1.7527 eV per atom

Geometry as POSCAR:
```
MnBi2W
1.0
-3.320 3.320 5.178
3.320 -3.320 5.178
3.320 3.320 -5.178
Mn Bi W
2 4 2
Cartesian
0.000 0.000 0.000
0.000 3.320 2.589
4.980 1.565 -1.294
1.565 1.660 1.294
-1.660 1.755 3.883
1.755 1.660 6.472
3.320 0.000 2.589
0.000 0.000 5.178
```


Entry 3:
An optimized crystal structure of NiRh2. Source: Alexandria via LeMat-Bulk, functional PBE.

Output
Crystal system = monoclinic
Calculated volume = 79.8 Å³ per cell
Energy relative to the lowest polymorph listed for this composition = 0.016 eV per atom
Total moment = 2.57 μB per cell
Energy of formation = 0.0553 eV per atom

Geometry as POSCAR:
```
NiRh2
1.0
4.874 -1.344 0.000
4.874 1.344 0.000
-1.646 0.000 6.090
Ni Rh
2 4
Cartesian
-0.224 0.000 1.878
8.326 0.000 4.212
2.426 0.000 2.234
1.940 0.000 5.922
6.161 0.000 0.169
5.676 0.000 3.856
```